A relaxed structure of LaYTh2S4, computed with PBE-GGA.

Output
- N(E_F) (states/eV/f.u.) = 4.73
- E_form (uncorrected) (eV/atom) = -1.94
- electronic total energy (eV/atom) = -7.284

The structure in extended XYZ format:
```
8
Lattice="6.944 0.000 0.000 0.000 4.033 0.000 -2.320 0.000 6.660" Properties=species:S:1:pos:R:3 pbc="T T T"
La 0.000 0.000 0.000
Y 3.472 2.017 0.000
Th -1.160 2.017 3.330
Th 2.312 0.000 3.330
S 1.218 2.017 1.654
S 0.053 0.000 5.043
S 4.570 0.000 1.617
S 3.406 2.017 5.006
```